A plane-wave DFT calculation with GGA+U was carried out for a geometry-optimized HoCr2AsO8 structure.

```
HoCr2AsO8
1.0
4.6200 0.0000 0.0000
0.1773 4.6215 0.0000
0.1313 0.1258 6.2499
Ho Cr As O
1 2 1 8
direct
0.0000 0.0000 0.0000 Ho
0.4990 0.4990 0.2583 Cr
0.5010 0.5010 0.7417 Cr
0.0000 0.0000 0.5000 As
0.1952 0.8034 0.7131 O
0.1982 0.8064 0.2868 O
0.2999 0.3015 0.4946 O
0.3278 0.3294 0.9895 O
0.6722 0.6706 0.0105 O
0.7001 0.6985 0.5054 O
0.8018 0.1936 0.7132 O
0.8048 0.1966 0.2868 O
```

As for the size of the total moment: 3.999 μB per cell. The calculation puts the final energy at -7.096 eV per atom.